(1)
9
Lattice="6.981 0.000 0.000 -3.491 6.046 0.000 0.000 0.000 7.257" Properties=species:S:1:pos:R:3 comment="RbErGeCl6 PBE-GGA optimized geometry" total_magnetization_mub_per_cell=0.000 sg=P312 raw_formation_energy_ev_per_atom=-1.756 dft_energy_ev_per_atom=-4.11 pbc="T T T"
Rb 0.000 0.000 0.000
Er 3.491 2.015 3.629
Ge 0.000 4.031 3.629
Cl 2.620 0.040 5.137
Cl 1.345 2.248 2.121
Cl 4.362 0.040 2.121
Cl 2.216 3.757 5.137
Cl 5.636 2.248 5.137
Cl 4.765 3.757 2.121

=====

(2)
12
Lattice="6.312 0.000 0.000 -0.742 6.988 0.000 -0.345 -0.479 9.327" Properties=species:S:1:pos:R:3 comment="RbErGe2Cl8 PBE-GGA optimized geometry" total_magnetization_mub_per_cell=0.000 sg=P-1 raw_formation_energy_ev_per_atom=-1.477 dft_energy_ev_per_atom=-3.94 pbc="T T T"
Rb 0.000 0.000 0.000
Er -0.172 -0.240 4.664
Ge 2.336 3.812 2.677
Ge 2.889 2.696 6.650
Cl 1.083 1.171 2.897
Cl 0.706 4.646 4.297
Cl 1.222 4.369 0.767
Cl 1.425 0.526 6.641
Cl 3.801 5.983 2.686
Cl 4.003 2.139 8.560
Cl 4.519 1.862 5.030
Cl 4.143 5.337 6.431

=====

(3)
12
Lattice="6.290 0.000 0.000 -0.546 6.920 0.000 -0.052 -0.629 9.039" Properties=species:S:1:pos:R:3 comment="ErTlGe2Cl8 PBE-GGA optimized geometry" total_magnetization_mub_per_cell=0.000 sg=P-1 raw_formation_energy_ev_per_atom=-1.313 dft_energy_ev_per_atom=-3.89 pbc="T T T"
Er 0.000 0.000 0.000
Tl -0.026 -0.314 4.520
Ge 2.549 3.363 6.967
Ge 3.143 2.928 2.072
Cl 1.198 0.768 7.253
Cl 1.031 4.185 8.701
Cl 1.613 0.794 1.949
Cl 1.349 4.070 5.151
Cl 4.343 2.221 3.888
Cl 4.078 5.497 7.090
Cl 4.660 2.106 0.338
Cl 4.493 5.523 1.786

=====

(4)
9
Lattice="6.958 0.000 0.000 -3.479 6.026 0.000 0.000 0.000 7.026" Properties=species:S:1:pos:R:3 comment="ErTlGeCl6 PBE-GGA optimized geometry" total_magnetization_mub_per_cell=0.000 sg=P312 raw_formation_energy_ev_per_atom=-1.531 dft_energy_ev_per_atom=-4.04 pbc="T T T"
Er 0.000 0.000 0.000
Tl 3.479 2.009 3.513
Ge 0.000 4.017 0.000
Cl -0.900 1.970 5.527
Cl -2.223 4.262 1.498
Cl 0.900 1.970 1.498
Cl -1.323 5.821 5.527
Cl 2.223 4.262 5.527
Cl 1.323 5.821 1.498